The following is a DFT calculation (PBE) of VGa3Pt after structural relaxation.

For the energy above the most stable polymorph in this dataset, the calculation gives 0.000 eV/atom. Its space group is Pm-3m (221).

Geometry as POSCAR:
```
VGa3Pt
1.0
4.806 0.000 0.000
0.000 4.806 0.000
0.000 0.000 4.806
V Ga Pt
1 3 1
Cartesian
0.000 0.000 0.000
0.000 2.403 2.403
2.403 0.000 2.403
2.403 2.403 0.000
2.403 2.403 2.403
```



The following is a DFT calculation (PBE) of V2GaPt after structural relaxation.

Its space group is P4/mmm (123).

Geometry as POSCAR:
```
V2GaPt
1.0
3.698 0.000 0.000
0.000 3.698 0.000
0.000 0.000 4.149
V Ga Pt
2 1 1
Cartesian
0.000 1.849 0.000
1.849 0.000 0.000
0.000 0.000 2.074
1.849 1.849 2.074
```



The following is a DFT calculation (PBE) of V2Ga4Pt after structural relaxation.

For the energy above the most stable polymorph in this dataset, the calculation gives 0.512 eV/atom. Its space group is I4/mmm (139).

Geometry as POSCAR:
```
V2Ga4Pt
1.0
-2.422 2.422 6.213
2.422 -2.422 6.213
2.422 2.422 -6.213
V Ga Pt
2 4 1
Cartesian
0.000 0.000 1.043
0.000 0.000 11.382
2.422 0.000 0.000
0.000 0.000 3.670
0.000 2.422 0.000
0.000 0.000 8.755
0.000 0.000 6.213
```



The following is a DFT calculation (PBE) of V12Ga6Pt after structural relaxation.

Its space group is R-3 (148).

Geometry as POSCAR:
```
V12Ga6Pt
1.0
4.540 2.621 3.796
-4.540 2.621 3.796
0.000 -5.243 3.796
V Ga Pt
12 6 1
Cartesian
-1.323 -4.046 4.771
-4.165 -0.878 6.617
-1.098 -1.029 3.424
-2.843 3.168 4.771
-0.342 1.465 3.424
1.440 -0.437 3.424
-1.440 0.437 7.965
0.342 -1.465 7.965
2.843 -3.168 6.617
1.098 1.029 7.965
4.165 0.878 4.771
1.323 4.046 6.617
-2.426 0.617 5.162
-1.747 -1.792 6.226
0.678 -2.409 5.162
-0.678 2.409 6.226
1.747 1.792 5.162
2.426 -0.617 6.226
0.000 0.000 5.694
```



The following is a DFT calculation (PBE) of V2GaPt after structural relaxation.

Its space group is I-42d (122).

Geometry as POSCAR:
```
V2GaPt
1.0
-1.816 1.816 9.327
1.816 -1.816 9.327
1.816 1.816 -9.327
V Ga Pt
4 2 2
Cartesian
2.724 0.842 -2.332
0.842 0.908 2.332
-0.908 0.975 6.995
0.975 0.908 11.658
0.000 0.000 0.000
0.000 1.816 4.663
1.816 0.000 4.663
0.000 0.000 9.327
```



The following is a DFT calculation (PBE) of V3GaPt after structural relaxation.

For the energy above the most stable polymorph in this dataset, the calculation gives 0.904 eV/atom. Its space group is Pm-3m (221).

Geometry as POSCAR:
```
V3GaPt
1.0
4.640 0.000 0.000
0.000 4.640 0.000
0.000 0.000 4.640
V Ga Pt
3 1 1
Cartesian
0.000 0.000 2.320
0.000 2.320 0.000
2.320 0.000 0.000
2.320 2.320 2.320
0.000 0.000 0.000
```



The following is a DFT calculation (PBE) of V5GaPt4 after structural relaxation.

Its space group is P4/mmm (123).

Geometry as POSCAR:
```
V5GaPt4
1.0
2.705 0.000 0.000
0.000 2.705 0.000
0.000 0.000 19.472
V Ga Pt
5 1 4
Cartesian
0.000 0.000 0.000
0.000 0.000 3.907
0.000 0.000 7.811
0.000 0.000 11.662
0.000 0.000 15.565
1.352 1.352 9.736
1.352 1.352 1.954
1.352 1.352 5.853
1.352 1.352 13.620
1.352 1.352 17.518
```



The following is a DFT calculation (PBE) of V2Ga4Pt after structural relaxation.

For the energy above the most stable polymorph in this dataset, the calculation gives 0.000 eV/atom. Its space group is P1 (1).

Geometry as POSCAR:
```
V2Ga4Pt
1.0
5.188 0.000 0.000
0.797 6.602 0.000
2.388 -0.203 6.276
V Ga Pt
4 8 2
Cartesian
0.000 0.000 0.000
1.559 0.784 2.358
2.666 2.968 2.348
4.156 0.722 2.263
2.823 1.660 4.549
3.745 5.289 3.721
2.720 1.564 0.166
3.678 5.473 0.929
5.285 2.812 3.562
5.421 -0.126 4.472
5.333 2.604 0.845
6.257 5.009 2.095
4.431 3.846 5.950
7.048 4.089 5.032
```



The following is a DFT calculation (PBE) of V2GaPt2 after structural relaxation.

Its space group is P4/mbm (127).

Geometry as POSCAR:
```
V2GaPt2
1.0
7.537 0.000 0.000
0.000 7.537 0.000
0.000 0.000 2.735
V Ga Pt
4 2 4
Cartesian
1.266 2.503 0.000
2.503 6.272 0.000
5.034 1.266 0.000
6.272 5.034 0.000
0.000 0.000 1.368
3.769 3.769 1.368
0.971 4.740 1.368
2.797 0.971 1.368
4.740 6.566 1.368
6.566 2.797 1.368
```



The following is a DFT calculation (PBE) of VGa2Pt2 after structural relaxation.

For the energy above the most stable polymorph in this dataset, the calculation gives 0.000 eV/atom. Its space group is P4/mbm (127).

Geometry as POSCAR:
```
VGa2Pt2
1.0
7.471 0.000 0.000
0.000 7.471 0.000
0.000 0.000 2.779
V Ga Pt
2 4 4
Cartesian
0.000 0.000 0.000
3.736 3.736 0.000
1.012 2.723 0.000
2.723 6.459 0.000
4.748 1.012 0.000
6.459 4.748 0.000
1.226 4.962 1.390
2.510 1.226 1.390
4.962 6.245 1.390
6.245 2.510 1.390
```



The following is a DFT calculation (PBE) of V3GaPt after structural relaxation.

For the energy above the most stable polymorph in this dataset, the calculation gives 0.953 eV/atom. Its space group is Pm-3m (221).

Geometry as POSCAR:
```
V3GaPt
1.0
4.417 0.000 0.000
0.000 4.417 0.000
0.000 0.000 4.417
V Ga Pt
3 1 1
Cartesian
0.000 0.000 2.209
0.000 2.209 0.000
2.209 0.000 0.000
0.000 0.000 0.000
2.209 2.209 2.209
```



The following is a DFT calculation (PBE) of V3GaPt after structural relaxation.

For the energy above the most stable polymorph in this dataset, the calculation gives 0.000 eV/atom. Its space group is P2_1/m (11).

Geometry as POSCAR:
```
V3GaPt
1.0
5.157 0.000 0.000
0.000 4.267 0.000
-2.049 0.000 7.297
V Ga Pt
6 2 2
Cartesian
0.000 0.000 0.000
0.000 2.134 0.000
-0.826 1.067 4.977
0.519 3.201 6.917
2.589 1.067 0.381
3.934 3.201 2.321
1.394 3.201 1.945
1.714 1.067 5.352
0.417 3.201 4.249
2.692 1.067 3.048
```



| no. | energy relative to the elements (meV/atom) |
| --- | --- |
| 1 | 369 |
| 2 | -408 |
| 3 | 291 |
| 4 | -104 |
| 5 | 64 |
| 6 | 969 |
| 7 | -492 |
| 8 | -221 |
| 9 | -329 |
| 10 | -348 |
| 11 | 1018 |
| 12 | 65 |